No. 1
The following is a PBE-GGA calculation of a relaxed structure of LaAs2Ru, from Alexandria via LeMat-Bulk.

Summary:
SG	No. 122
DFT formation energy	-0.46	eV per atom
polymorph energy (0 for the lowest one)	10.380	kcal/mol of atoms
total magnetic moment	0.00	μB per formula unit

abc: 4.8522 4.8522 8.8557
angles: 74.10 74.10 90.00
Fractional positions:
Ru 0.5000 0.5000 0.0000
Ru 0.2500 0.7500 0.5000
As 0.8750 0.7241 0.7500
As 0.2759 0.6250 0.2500
As 0.4741 0.1250 0.2500
As 0.3750 0.5259 0.7500
La 0.0000 0.0000 0.0000
La 0.7500 0.2500 0.5000

No. 2
The following is a PBE-GGA calculation of a relaxed structure of Rb3In2SnBr9, from Alexandria via LeMat-Bulk.

Summary:
raw formation energy	-1.148	eV per atom
SG	No. 164
total magnetic moment	0.00	μB per formula unit

abc: 8.1666 8.1666 9.9916
angles: 90.00 90.00 120.00
Fractional positions:
Br 0.8302 0.6605 0.6676
Br 0.1698 0.8302 0.3324
Br 0.6605 0.8302 0.3324
Br 0.1698 0.3395 0.3324
Br 0.5000 0.0000 0.0000
Br 0.5000 0.5000 0.0000
Br 0.3395 0.1698 0.6676
Br 0.0000 0.5000 0.0000
Br 0.8302 0.1698 0.6676
Rb 0.0000 0.0000 0.0000
Rb 0.6667 0.3333 0.3425
Rb 0.3333 0.6667 0.6575
In 0.6667 0.3333 0.8406
In 0.3333 0.6667 0.1594
Sn 0.0000 0.0000 0.5000